Computed, not measured: a relaxed ScGa3Te crystal at the GGA-PBE level of DFT.

E_form (uncorrected) in eV/atom: 0.452
Polymorph energy (0 for the lowest one) in meV/atom: 0
Total DFT energy (no corrections) in eV per atom: -3.2583

POSCAR file:
```
ScGa3Te
1.0
-3.2358 4.2100 -0.4216
-1.4953 -0.6414 5.0720
3.9580 3.1995 1.5715
Te Ga Sc
1 3 1
direct
0.5000 0.5000 0.5000 Te
0.0000 0.0000 0.5000 Ga
0.0000 0.5000 0.0000 Ga
0.5000 0.0000 0.0000 Ga
0.0000 0.0000 0.0000 Sc
```